The following is a DFT calculation (PBE-GGA) of a relaxed PmPr2HoEr4 crystal.

a = 5.0761 Å, b = 5.1022 Å, c = 10.0018 Å
α = 90.00°, β = 90.00°, γ = 90.00°
Closest atoms and distances in Å follow each position.
Fractional coordinates of all 8 atoms:
Pm  0.0000  0.0000  0.0000  8 Er 3.57-3.59, 4 Pr 3.60
Pr  0.0000  0.0000  0.5000  8 Er 3.55-3.56, 4 Ho 3.60
Pr  0.5000  0.5000  0.0000  8 Er 3.58, 4 Pm 3.60
Ho  0.5000  0.5000  0.5000  8 Er 3.55-3.56, 4 Pr 3.60
Er  0.0000  0.5000  0.2520  2 Ho 3.55, 4 Pr 3.56-3.58, 2 Pm 3.59, 4 Er 3.60
Er  0.0000  0.5000  0.7480  2 Ho 3.55, 4 Pr 3.56-3.58, 2 Pm 3.59, 4 Er 3.60
Er  0.5000  0.0000  0.2515  4 Pr 3.55-3.58, 2 Ho 3.56, 2 Pm 3.57, 4 Er 3.60
Er  0.5000  0.0000  0.7485  4 Pr 3.55-3.58, 2 Ho 3.56, 2 Pm 3.57, 4 Er 3.60

Output
Volume in Å³/f.u.: 259.04
Formation energy from the elements in eV per atom: 0.023
E in eV per atom: -4.619

The following is a DFT calculation (PBE-GGA) of a relaxed Tb4Cu2O crystal.

a = 7.6822 Å, b = 7.6822 Å, c = 7.6822 Å
α = 144.37°, β = 144.37°, γ = 51.27°
Closest atoms and distances in Å follow each position.
Fractional coordinates of all 7 atoms:
Tb  0.0000  0.5000  0.5000  2 O 2.35
Tb  0.1863  0.1863  0.0000  1 O 2.58, 1 Cu 2.68
Tb  0.5000  0.0000  0.5000  2 O 2.35
Tb  0.8137  0.8137  0.0000  1 O 2.58, 1 Cu 2.68
Cu  0.3800  0.3800  0.0000  5 Tb 2.68-2.88
Cu  0.6200  0.6200  0.0000  5 Tb 2.68-2.88
O  0.0000  0.0000  0.0000  6 Tb 2.35-2.58

Output
Volume in Å³/f.u.: 153.01
E_form (uncorrected) in eV/atom: -0.895
E in eV per atom: -5.420

The following is a DFT calculation (PBE-GGA) of a relaxed BeB2PdF crystal.

a = 3.9894 Å, b = 3.9894 Å, c = 4.4559 Å
α = 90.00°, β = 90.00°, γ = 90.00°
Closest atoms and distances in Å follow each position.
Fractional coordinates of all 5 atoms:
Be  0.0000  0.0000  0.0000  2 Pd 2.23
B  0.0000  0.5000  0.5000  2 Pd 1.99
B  0.5000  0.0000  0.5000  2 Pd 1.99
Pd  0.0000  0.0000  0.5000  4 B 1.99, 2 Be 2.23
F  0.5000  0.5000  0.0000  4 Be 2.82, 8 B 2.99

Output
Volume in Å³/f.u.: 70.92
E_form (uncorrected) in eV/atom: 0.564
E in eV per atom: -4.265

The following is a DFT calculation (PBE-GGA) of a relaxed SmCdAu crystal.

a = 13.9220 Å, b = 3.9507 Å, c = 7.9162 Å
α = 90.00°, β = 90.00°, γ = 90.00°
Closest atoms and distances in Å follow each position.
Fractional coordinates of all 18 atoms:
Sm  0.0494  0.0000  0.2335  5 Au 3.13-3.26, 6 Cd 3.38-3.44
Sm  0.2500  0.0000  0.8333  5 Au 3.03-3.07
Sm  0.4506  0.0000  0.2335  5 Au 3.13-3.26, 6 Cd 3.38-3.44
Sm  0.5494  0.0000  0.7665  5 Au 3.13-3.26, 6 Cd 3.38-3.44
Sm  0.7500  0.0000  0.1667  5 Au 3.03-3.07
Sm  0.9506  0.0000  0.7665  5 Au 3.13-3.26, 6 Cd 3.38-3.44
Cd  0.1098  0.5000  0.5635  3 Au 2.93-2.95, 1 Cd 3.22
Cd  0.2500  0.5000  0.1853  4 Au 2.86-2.92
Cd  0.3902  0.5000  0.5635  3 Au 2.93-2.95, 1 Cd 3.22
Cd  0.6098  0.5000  0.4365  3 Au 2.93-2.95, 1 Cd 3.22
Cd  0.7500  0.5000  0.8147  4 Au 2.86-2.92
Cd  0.8902  0.5000  0.4365  3 Au 2.93-2.95, 1 Cd 3.22
Au  0.0958  0.5000  0.9359  1 Au 2.85, 2 Cd 2.92-2.95, 6 Sm 3.03-3.14
Au  0.2500  0.0000  0.4461  6 Cd 2.86-2.93, 1 Sm 3.07
Au  0.4042  0.5000  0.9359  1 Au 2.85, 2 Cd 2.92-2.95, 6 Sm 3.03-3.14
Au  0.5958  0.5000  0.0641  1 Au 2.85, 2 Cd 2.92-2.95, 6 Sm 3.03-3.14
Au  0.7500  0.0000  0.5539  6 Cd 2.86-2.93, 1 Sm 3.07
Au  0.9042  0.5000  0.0641  1 Au 2.85, 2 Cd 2.92-2.95, 6 Sm 3.03-3.14

Output
Volume in Å³/f.u.: 72.57
Formation energy from the elements in eV per atom: -0.627
E in eV per atom: -3.597

The following is a DFT calculation (PBE-GGA) of a relaxed KRb2Hg2Bi2 crystal.

a = 11.5056 Å, b = 11.5056 Å, c = 11.5056 Å
α = 27.29°, β = 27.29°, γ = 27.29°
Closest atoms and distances in Å follow each position.
Fractional coordinates of all 7 atoms:
K  0.0000  0.0000  0.0000  6 Hg 3.76, 6 Bi 3.92
Rb  0.1282  0.1282  0.1282  3 Bi 3.67, 3 Hg 3.82, 3 Rb 4.04
Rb  0.8718  0.8718  0.8718  3 Bi 3.67, 3 Hg 3.82, 3 Rb 4.04
Hg  0.3957  0.3957  0.3957  3 Bi 3.15
Hg  0.6043  0.6043  0.6043  3 Bi 3.15
Bi  0.2626  0.2626  0.2626  3 Hg 3.15
Bi  0.7374  0.7374  0.7374  3 Hg 3.15

Output
Volume in Å³/f.u.: 282.53
Formation energy from the elements in eV per atom: -0.269
E in eV per atom: -1.897

The following is a DFT calculation (PBE-GGA) of a relaxed Tb13Tm2 crystal.

a = 12.1551 Å, b = 12.1551 Å, c = 12.1551 Å
α = 33.46°, β = 33.46°, γ = 33.46°
Closest atoms and distances in Å follow each position.
Fractional coordinates of all 15 atoms:
Tb  0.0000  0.0000  0.0000  12 Tb 3.83
Tb  0.0425  0.5466  0.5466  5 Tb 3.11-3.47, 1 Tm 3.45
Tb  0.2084  0.7089  0.7089  8 Tb 3.40-3.53, 3 Tm 3.46-3.50
Tb  0.2911  0.2911  0.7916  8 Tb 3.40-3.53, 3 Tm 3.46-3.50
Tb  0.2911  0.7916  0.2911  8 Tb 3.40-3.53, 3 Tm 3.46-3.50
Tb  0.4534  0.4534  0.9575  5 Tb 3.11-3.47, 1 Tm 3.45
Tb  0.4534  0.9575  0.4534  5 Tb 3.11-3.47, 1 Tm 3.45
Tb  0.5466  0.0425  0.5466  5 Tb 3.11-3.47, 1 Tm 3.45
Tb  0.5466  0.5466  0.0425  5 Tb 3.11-3.47, 1 Tm 3.45
Tb  0.7089  0.2084  0.7089  8 Tb 3.40-3.53, 3 Tm 3.46-3.50
Tb  0.7089  0.7089  0.2084  8 Tb 3.40-3.53, 3 Tm 3.46-3.50
Tb  0.7916  0.2911  0.2911  8 Tb 3.40-3.53, 3 Tm 3.46-3.50
Tb  0.9575  0.4534  0.4534  5 Tb 3.11-3.47, 1 Tm 3.45
Tm  0.2064  0.2064  0.2064  12 Tb 3.45-3.50
Tm  0.7936  0.7936  0.7936  12 Tb 3.45-3.50

Output
Volume in Å³/f.u.: 486.10
Formation energy from the elements in eV per atom: 0.158
E in eV per atom: -4.451

The following is a DFT calculation (PBE-GGA) of a relaxed Pm3BiTe6 crystal.

a = 9.7685 Å, b = 9.7685 Å, c = 7.6976 Å
α = 90.00°, β = 90.00°, γ = 103.00°
Closest atoms and distances in Å follow each position.
Fractional coordinates of all 20 atoms:
Pm  0.0910  0.9090  0.5000  7 Te 3.19-3.29
Pm  0.2194  0.4171  0.3840  7 Te 3.14-3.36
Pm  0.4171  0.2194  0.8840  7 Te 3.14-3.36
Pm  0.5829  0.7806  0.3840  7 Te 3.14-3.36
Pm  0.7806  0.5829  0.8840  7 Te 3.14-3.36
Pm  0.9090  0.0910  0.0000  7 Te 3.19-3.29
Bi  0.3217  0.6783  0.8702  4 Te 2.98-3.27
Bi  0.6783  0.3217  0.3702  4 Te 2.98-3.27
Te  0.0603  0.5960  0.6601  1 Bi 2.98, 2 Pm 3.21-3.25
Te  0.1284  0.2045  0.6968  4 Pm 3.14-3.21
Te  0.2045  0.1284  0.1968  4 Pm 3.14-3.21
Te  0.2655  0.7345  0.2503  1 Bi 3.05, 3 Pm 3.20-3.29
Te  0.4040  0.9397  0.6601  1 Bi 2.98, 2 Pm 3.21-3.25
Te  0.4966  0.5034  0.6255  4 Pm 3.24-3.36, 2 Bi 3.27-3.40
Te  0.5034  0.4966  0.1255  4 Pm 3.24-3.36, 2 Bi 3.27-3.40
Te  0.5960  0.0603  0.1601  1 Bi 2.98, 2 Pm 3.21-3.25
Te  0.7345  0.2655  0.7503  1 Bi 3.05, 3 Pm 3.20-3.29
Te  0.7955  0.8716  0.6968  4 Pm 3.14-3.21
Te  0.8716  0.7955  0.1968  4 Pm 3.14-3.21
Te  0.9397  0.4040  0.1601  1 Bi 2.98, 2 Pm 3.21-3.25

Output
Volume in Å³/f.u.: 357.85
E_form (uncorrected) in eV/atom: -1.082
E in eV per atom: -4.780

The following is a DFT calculation (PBE-GGA) of a relaxed NdH8Os2 crystal.

a = 4.6372 Å, b = 4.6372 Å, c = 4.7184 Å
α = 90.07°, β = 90.07°, γ = 102.83°
Closest atoms and distances in Å follow each position.
Fractional coordinates of all 11 atoms:
Nd  0.0000  0.0000  0.0000  10 H 2.42-2.55
H  0.1306  0.4609  0.7407  1 Os 1.66
H  0.1322  0.4602  0.2607  1 Os 1.66
H  0.1390  0.8743  0.5001  2 Os 1.75-1.79, 1 H 1.92
H  0.4602  0.1322  0.2607  1 Os 1.66
H  0.4609  0.1306  0.7407  1 Os 1.66
H  0.6243  0.6243  0.7559  2 Os 1.86
H  0.6250  0.6250  0.2421  2 Os 1.86
H  0.8743  0.1390  0.5001  2 Os 1.75-1.79, 1 H 1.92
Os  0.5276  0.8924  0.4996  5 H 1.66-1.86
Os  0.8924  0.5276  0.4996  5 H 1.66-1.86

Output
Volume in Å³/f.u.: 98.93
E in eV per atom: -4.986

The following is a DFT calculation (PBE-GGA) of a relaxed BeFe2OsPd crystal.

a = 3.9928 Å, b = 3.9928 Å, c = 3.9934 Å
α = 90.00°, β = 90.00°, γ = 90.00°
Closest atoms and distances in Å follow each position.
Fractional coordinates of all 5 atoms:
Be  0.0000  0.0000  0.0000  4 Fe 2.00, 2 Pd 2.00
Fe  0.0000  0.5000  0.0000  2 Be 2.00
Fe  0.5000  0.0000  0.0000  2 Be 2.00
Os  0.5000  0.5000  0.5000  4 Pd 2.82, 8 Fe 2.82
Pd  0.0000  0.0000  0.5000  2 Be 2.00

Output
Volume in Å³/f.u.: 63.66
Formation energy from the elements in eV per atom: 0.640
E in eV per atom: -6.775

The following is a DFT calculation (PBE-GGA) of a relaxed AcDyPa crystal.

a = 3.5600 Å, b = 3.5600 Å, c = 8.8710 Å
α = 90.00°, β = 90.00°, γ = 120.00°
Closest atoms and distances in Å follow each position.
Fractional coordinates of all 3 atoms:
Ac  0.0000  0.0000  0.0000  3 Pa 3.55, 6 Ac 3.56, 3 Dy 3.86
Dy  0.3333  0.6667  0.6315  3 Pa 3.40, 6 Dy 3.56
Pa  0.6667  0.3333  0.3265  3 Dy 3.40, 3 Ac 3.55, 6 Pa 3.56

Output
Volume in Å³/f.u.: 97.37
Formation energy from the elements in eV per atom: 0.270
E in eV per atom: -5.799

The following is a DFT calculation (PBE-GGA) of a relaxed U2SnSe4 crystal.

a = 14.1532 Å, b = 14.1532 Å, c = 14.1532 Å
α = 16.83°, β = 16.83°, γ = 16.83°
Closest atoms and distances in Å follow each position.
Fractional coordinates of all 7 atoms:
U  0.2457  0.2457  0.2457  6 Se 2.82-2.98
U  0.7543  0.7543  0.7543  6 Se 2.82-2.98
Sn  0.0000  0.0000  0.0000  6 Se 3.05
Se  0.1235  0.1235  0.1235  3 U 2.82
Se  0.3786  0.3786  0.3786  3 U 2.98, 3 Sn 3.05
Se  0.6214  0.6214  0.6214  3 U 2.98, 3 Sn 3.05
Se  0.8765  0.8765  0.8765  3 U 2.82

Output
Volume in Å³/f.u.: 207.31
E_form (uncorrected) in eV/atom: -0.822
E in eV per atom: -6.610

The following is a DFT calculation (PBE-GGA) of a relaxed PSe2F2 crystal.

a = 5.3272 Å, b = 5.3272 Å, c = 5.3272 Å
α = 104.72°, β = 104.72°, γ = 119.47°
Closest atoms and distances in Å follow each position.
Fractional coordinates of all 5 atoms:
P  0.0000  0.0000  0.0000  2 F 1.60
Se  0.2500  0.7500  0.5000  2 Se 2.68
Se  0.7500  0.2500  0.5000  2 Se 2.68
F  0.2983  0.2983  0.0000  1 P 1.60
F  0.7017  0.7017  0.0000  1 P 1.60

Output
Volume in Å³/f.u.: 113.68
E_form (uncorrected) in eV/atom: -0.256
E in eV per atom: -3.480

The following is a DFT calculation (PBE-GGA) of a relaxed Rb2ScMn2 crystal.

a = 9.9152 Å, b = 9.9152 Å, c = 3.3647 Å
α = 90.00°, β = 90.00°, γ = 90.00°
Closest atoms and distances in Å follow each position.
Fractional coordinates of all 10 atoms:
Rb  0.1268  0.3732  0.0000  6 Mn 3.21-3.50, 3 Rb 3.36-3.56
Rb  0.3732  0.8732  0.0000  6 Mn 3.21-3.50, 3 Rb 3.36-3.56
Rb  0.6268  0.1268  0.0000  6 Mn 3.21-3.50, 3 Rb 3.36-3.56
Rb  0.8732  0.6268  0.0000  6 Mn 3.21-3.50, 3 Rb 3.36-3.56
Sc  0.0000  0.0000  0.0000  2 Sc 3.36
Sc  0.5000  0.5000  0.0000  2 Sc 3.36
Mn  0.1783  0.6783  0.5000  6 Rb 3.21-3.50, 2 Mn 3.36
Mn  0.3217  0.1783  0.5000  6 Rb 3.21-3.50, 2 Mn 3.36
Mn  0.6783  0.8217  0.5000  6 Rb 3.21-3.50, 2 Mn 3.36
Mn  0.8217  0.3217  0.5000  6 Rb 3.21-3.50, 2 Mn 3.36

Output
Volume in Å³/f.u.: 165.39
Formation energy from the elements in eV per atom: 1.322
E in eV per atom: -3.999

The following is a DFT calculation (PBE-GGA) of a relaxed HfHgAu3 crystal.

a = 5.2941 Å, b = 5.2941 Å, c = 5.2941 Å
α = 90.00°, β = 90.00°, γ = 90.00°
Closest atoms and distances in Å follow each position.
Fractional coordinates of all 5 atoms:
Hf  0.0000  0.0000  0.0000  6 Au 2.65
Hg  0.5000  0.5000  0.5000  12 Au 3.74
Au  0.0000  0.0000  0.5000  2 Hf 2.65
Au  0.0000  0.5000  0.0000  2 Hf 2.65
Au  0.5000  0.0000  0.0000  2 Hf 2.65

Output
Volume in Å³/f.u.: 148.38
Formation energy from the elements in eV per atom: 0.516
E in eV per atom: -3.501

The following is a DFT calculation (PBE-GGA) of a relaxed LiMgGa crystal.

a = 5.0932 Å, b = 5.0932 Å, c = 5.0932 Å
α = 140.22°, β = 140.22°, γ = 57.52°
Closest atoms and distances in Å follow each position.
Fractional coordinates of all 3 atoms:
Li  0.0000  0.0000  0.0000  5 Ga 2.80-3.12, 5 Mg 2.87-2.92
Mg  0.6785  0.6785  0.0000  5 Li 2.87-2.92, 5 Ga 2.89-2.94
Ga  0.3492  0.3492  0.0000  5 Li 2.80-3.12, 5 Mg 2.89-2.94

Output
Volume in Å³/f.u.: 53.63
Formation energy from the elements in eV per atom: -0.199
E in eV per atom: -2.377